VASP calculation (PBE) on CaTb3Ga2 after structural relaxation.

Cell and atoms, written as POSCAR:
```
CaTb3Ga2
1.0
7.989 -2.599 0.000
7.989 2.599 0.000
-3.671 0.000 7.945
Ca Tb Ga
2 6 4
Direct
0.137 0.137 0.207
0.863 0.863 0.793
0.060 0.060 0.718
0.314 0.314 0.007
0.377 0.377 0.491
0.623 0.623 0.509
0.686 0.686 0.993
0.940 0.940 0.282
0.222 0.222 0.623
0.483 0.483 0.846
0.517 0.517 0.154
0.778 0.778 0.377
```

Calculated values
ΔH_f (0 K), meV per atom: -287
Symmetry: C2/m

VASP calculation (PBE) on Ba2NiSn2 after structural relaxation.

Cell and atoms, written as POSCAR:
```
Ba2NiSn2
1.0
7.379 0.000 0.000
0.000 7.379 0.000
0.000 0.000 5.644
Ba Ni Sn
4 2 4
Direct
0.164 0.336 0.000
0.336 0.836 0.000
0.664 0.164 0.000
0.836 0.664 0.000
0.000 0.000 0.500
0.500 0.500 0.500
0.149 0.649 0.500
0.351 0.149 0.500
0.649 0.851 0.500
0.851 0.351 0.500
```

Calculated values
ΔH_f (0 K), meV per atom: -247
Symmetry: P4/mbm

VASP calculation (PBE) on Mn2CuRh9 after structural relaxation.

Cell and atoms, written as POSCAR:
```
Mn2CuRh9
1.0
3.815 0.000 0.000
0.000 3.815 0.000
0.000 0.000 11.428
Mn Cu Rh
2 1 9
Direct
0.000 0.000 0.168
0.000 0.000 0.832
0.000 0.000 0.500
0.000 0.500 0.000
0.000 0.500 0.332
0.000 0.500 0.668
0.500 0.000 0.000
0.500 0.000 0.332
0.500 0.000 0.668
0.500 0.500 0.166
0.500 0.500 0.500
0.500 0.500 0.834
```

Calculated values
ΔH_f (0 K), meV per atom: -53
Symmetry: P4/mmm

Question: The lowest ΔH_f (0 K) belongs to which entry?
Answer: CaTb3Ga2

Question: Look up the ΔH_f (0 K) of the first one.
Answer: -287 meV per atom